# 1
5
Lattice="4.291 0.000 0.000 0.000 4.291 0.000 0.000 0.000 3.707" Properties=species:S:1:pos:R:3 comment="Li2CuHgN PBE relaxed" formation_energy_uncorrected_ev_per_atom=-0.21 spacegroup=P4/mmm volume_a3_per_cell=68.3 pbc="T T T"
Li 0.000 2.146 0.000
Li 2.146 0.000 0.000
Cu 0.000 0.000 1.853
Hg 2.146 2.146 1.853
N 0.000 0.000 0.000

=====

# 2
4
Lattice="0.000 3.321 3.321 3.321 0.000 3.321 3.321 3.321 0.000" Properties=species:S:1:pos:R:3 comment="NaLiCuHg PBE relaxed" spacegroup=F-43m ef_ev_per_fu=-0.19 volume_a3_per_cell=73.2 pbc="T T T"
Na 0.000 0.000 0.000
Li 1.660 1.660 1.660
Cu 4.981 4.981 4.981
Hg 3.321 3.321 3.321